Record 1
# LaRuBr3 | Alexandria via LeMat-Bulk | PBEsol | relaxed
data_LaRuBr3
_space_group_name_H-M_alt 'P m -3 m'
_space_group_IT_number 221
_space_group_name_Hall '-P 4 2 3'
_cell_length_a 4.9310
_cell_length_b 4.9310
_cell_length_c 4.9310
_cell_angle_alpha 90.00
_cell_angle_beta 90.00
_cell_angle_gamma 90.00
loop_
_atom_site_label
_atom_site_type_symbol
_atom_site_fract_x
_atom_site_fract_y
_atom_site_fract_z
La1 La 0.0000 0.0000 0.0000
Ru1 Ru 0.5000 0.5000 0.5000
Br1 Br 0.0000 0.5000 0.5000
# * uncorrected energy: -4.67 eV per atom
# * ΔE_f (raw): -2.22 eV per formula unit
# * energy relative to the lowest polymorph listed for this composition: 0.000 eV per atom
# * calculated density: 6.64 Mg/m³

---

Record 2
# LaRu2Br | Alexandria via LeMat-Bulk | PBEsol | relaxed
data_LaRu2Br
_space_group_name_H-M_alt 'P 4/m m m'
_space_group_IT_number 123
_space_group_name_Hall '-P 4 2'
_cell_length_a 3.9852
_cell_length_b 3.9852
_cell_length_c 4.7782
_cell_angle_alpha 90.00
_cell_angle_beta 90.00
_cell_angle_gamma 90.00
loop_
_atom_site_label
_atom_site_type_symbol
_atom_site_fract_x
_atom_site_fract_y
_atom_site_fract_z
La1 La 0.0000 0.0000 0.0000
Ru1 Ru 0.0000 0.5000 0.5000
Br1 Br 0.5000 0.5000 0.0000
# * uncorrected energy: -6.52 eV per atom
# * ΔE_f (raw): 1.50 eV per formula unit
# * energy relative to the lowest polymorph listed for this composition: 0.388 eV per atom
# * calculated density: 9.21 Mg/m³

---

Record 3
# LaRu3Br | Alexandria via LeMat-Bulk | PBEsol | relaxed
data_LaRu3Br
_space_group_name_H-M_alt 'P m -3 m'
_space_group_IT_number 221
_space_group_name_Hall '-P 4 2 3'
_cell_length_a 4.5879
_cell_length_b 4.5879
_cell_length_c 4.5879
_cell_angle_alpha 90.00
_cell_angle_beta 90.00
_cell_angle_gamma 90.00
loop_
_atom_site_label
_atom_site_type_symbol
_atom_site_fract_x
_atom_site_fract_y
_atom_site_fract_z
La1 La 0.0000 0.0000 0.0000
Ru1 Ru 0.0000 0.5000 0.5000
Br1 Br 0.5000 0.5000 0.5000
# * uncorrected energy: -6.72 eV per atom
# * ΔE_f (raw): 4.16 eV per formula unit
# * calculated density: 8.98 Mg/m³

---

Record 4
# LaSbRu2Br | Alexandria via LeMat-Bulk | PBEsol | relaxed
data_LaSbRu2Br
_space_group_name_H-M_alt 'P 4/m m m'
_space_group_IT_number 123
_space_group_name_Hall '-P 4 2'
_cell_length_a 4.7906
_cell_length_b 4.7906
_cell_length_c 5.5578
_cell_angle_alpha 90.00
_cell_angle_beta 90.00
_cell_angle_gamma 90.00
loop_
_atom_site_label
_atom_site_type_symbol
_atom_site_fract_x
_atom_site_fract_y
_atom_site_fract_z
La1 La 0.0000 0.0000 0.0000
Sb1 Sb 0.5000 0.5000 0.5000
Ru1 Ru 0.0000 0.5000 0.5000
Br1 Br 0.5000 0.5000 0.0000
# * uncorrected energy: -5.84 eV per atom
# * ΔE_f (raw): 2.92 eV per formula unit
# * calculated density: 7.07 Mg/m³

---

Record 5
# LaS2Br | Alexandria via LeMat-Bulk | PBEsol | relaxed
data_LaS2Br
_space_group_name_H-M_alt 'F m -3 m'
_space_group_IT_number 225
_space_group_name_Hall '-F 4 2 3'
_cell_length_a 7.0441
_cell_length_b 7.0441
_cell_length_c 7.0441
_cell_angle_alpha 90.00
_cell_angle_beta 90.00
_cell_angle_gamma 90.00
loop_
_atom_site_label
_atom_site_type_symbol
_atom_site_fract_x
_atom_site_fract_y
_atom_site_fract_z
La1 La 0.0000 0.0000 0.0000
S1 S 0.2500 0.2500 0.2500
Br1 Br 0.0000 0.0000 0.5000
# * uncorrected energy: -4.89 eV per atom
# * ΔE_f (raw): -3.58 eV per formula unit
# * calculated density: 5.38 Mg/m³

---

Record 6
# La3Si2S8Br | Alexandria via LeMat-Bulk | PBEsol | relaxed
data_La3Si2S8Br
_space_group_name_H-M_alt 'C 1 2/c 1'
_space_group_IT_number 15
_space_group_name_Hall '-C 2yc'
_cell_length_a 15.6078
_cell_length_b 7.7847
_cell_length_c 10.8856
_cell_angle_alpha 90.00
_cell_angle_beta 97.19
_cell_angle_gamma 90.00
loop_
_atom_site_label
_atom_site_type_symbol
_atom_site_fract_x
_atom_site_fract_y
_atom_site_fract_z
La1 La 0.0000 0.1070 0.2500
La2 La 0.1942 0.3806 0.6834
Si1 Si 0.1604 0.0333 0.0305
S1 S 0.0648 0.1545 0.5488
S2 S 0.1471 0.2471 0.1461
S3 S 0.1488 0.0970 0.8401
S4 S 0.2150 0.4262 0.4151
Br1 Br 0.0000 0.4942 0.7500
# * uncorrected energy: -6.22 eV per atom
# * ΔE_f (raw): -22.63 eV per formula unit
# * calculated density: 4.10 Mg/m³

---

Record 7
# La3SbBr | Alexandria via LeMat-Bulk | PBEsol | relaxed
data_La3SbBr
_space_group_name_H-M_alt 'P m -3 m'
_space_group_IT_number 221
_space_group_name_Hall '-P 4 2 3'
_cell_length_a 5.4958
_cell_length_b 5.4958
_cell_length_c 5.4958
_cell_angle_alpha 90.00
_cell_angle_beta 90.00
_cell_angle_gamma 90.00
loop_
_atom_site_label
_atom_site_type_symbol
_atom_site_fract_x
_atom_site_fract_y
_atom_site_fract_z
La1 La 0.0000 0.0000 0.5000
Sb1 Sb 0.5000 0.5000 0.5000
Br1 Br 0.0000 0.0000 0.0000
# * uncorrected energy: -5.06 eV per atom
# * ΔE_f (raw): -2.85 eV per formula unit
# * calculated density: 6.19 Mg/m³

---

Record 8
# LaSbBr | Alexandria via LeMat-Bulk | PBEsol | relaxed
data_LaSbBr
_space_group_name_H-M_alt 'F -4 3 m'
_space_group_IT_number 216
_space_group_name_Hall 'F -4 2 3'
_cell_length_a 7.1410
_cell_length_b 7.1410
_cell_length_c 7.1410
_cell_angle_alpha 90.00
_cell_angle_beta 90.00
_cell_angle_gamma 90.00
loop_
_atom_site_label
_atom_site_type_symbol
_atom_site_fract_x
_atom_site_fract_y
_atom_site_fract_z
La1 La 0.0000 0.0000 0.0000
Sb1 Sb 0.0000 0.0000 0.5000
Br1 Br 0.2500 0.2500 0.7500
# * uncorrected energy: -4.66 eV per atom
# * ΔE_f (raw): -2.21 eV per formula unit
# * calculated density: 6.21 Mg/m³

---

Record 9
# La9Sb16Br3 | Alexandria via LeMat-Bulk | PBEsol | relaxed
data_La9Sb16Br3
_space_group_name_H-M_alt 'P 63/m'
_space_group_IT_number 176
_space_group_name_Hall '-P 6c'
_cell_length_a 21.1002
_cell_length_b 21.1002
_cell_length_c 4.2932
_cell_angle_alpha 90.00
_cell_angle_beta 90.00
_cell_angle_gamma 120.00
loop_
_atom_site_label
_atom_site_type_symbol
_atom_site_fract_x
_atom_site_fract_y
_atom_site_fract_z
La1 La 0.0070 0.6047 0.2500
La2 La 0.0944 0.8492 0.2500
La3 La 0.2331 0.5414 0.7500
Sb1 Sb 0.0092 0.2855 0.2500
Sb2 Sb 0.1043 0.5147 0.2500
Sb3 Sb 0.1306 0.3569 0.7500
Sb4 Sb 0.1371 0.6282 0.7500
Sb5 Sb 0.1775 0.7495 0.2500
Sb6 Sb 0.3333 0.6667 0.2500
Br1 Br 0.0499 0.1483 0.7500
# * uncorrected energy: -5.61 eV per atom
# * ΔE_f (raw): -30.56 eV per formula unit
# * calculated density: 6.90 Mg/m³

---

Record 10
# LaSbSe2Br | Alexandria via LeMat-Bulk | PBEsol | relaxed
data_LaSbSe2Br
_space_group_name_H-M_alt 'P 4/m m m'
_space_group_IT_number 123
_space_group_name_Hall '-P 4 2'
_cell_length_a 5.7245
_cell_length_b 5.7245
_cell_length_c 5.5312
_cell_angle_alpha 90.00
_cell_angle_beta 90.00
_cell_angle_gamma 90.00
loop_
_atom_site_label
_atom_site_type_symbol
_atom_site_fract_x
_atom_site_fract_y
_atom_site_fract_z
La1 La 0.0000 0.0000 0.0000
Sb1 Sb 0.5000 0.5000 0.5000
Se1 Se 0.0000 0.5000 0.0000
Br1 Br 0.0000 0.0000 0.5000
# * uncorrected energy: -4.26 eV per atom
# * ΔE_f (raw): -1.85 eV per formula unit
# * calculated density: 4.57 Mg/m³

---

Record 11
# LaSb2TeBr | Alexandria via LeMat-Bulk | PBEsol | relaxed
data_LaSb2TeBr
_space_group_name_H-M_alt 'P 4/m m m'
_space_group_IT_number 123
_space_group_name_Hall '-P 4 2'
_cell_length_a 6.0585
_cell_length_b 6.0585
_cell_length_c 5.8951
_cell_angle_alpha 90.00
_cell_angle_beta 90.00
_cell_angle_gamma 90.00
loop_
_atom_site_label
_atom_site_type_symbol
_atom_site_fract_x
_atom_site_fract_y
_atom_site_fract_z
La1 La 0.0000 0.0000 0.0000
Sb1 Sb 0.0000 0.5000 0.0000
Te1 Te 0.0000 0.0000 0.5000
Br1 Br 0.5000 0.5000 0.5000
# * uncorrected energy: -3.59 eV per atom
# * ΔE_f (raw): 1.91 eV per formula unit
# * calculated density: 4.53 Mg/m³

---

Record 12
# LaSc2Br | Alexandria via LeMat-Bulk | PBEsol | relaxed
data_LaSc2Br
_space_group_name_H-M_alt 'P 4/m m m'
_space_group_IT_number 123
_space_group_name_Hall '-P 4 2'
_cell_length_a 3.3667
_cell_length_b 3.3667
_cell_length_c 8.8260
_cell_angle_alpha 90.00
_cell_angle_beta 90.00
_cell_angle_gamma 90.00
loop_
_atom_site_label
_atom_site_type_symbol
_atom_site_fract_x
_atom_site_fract_y
_atom_site_fract_z
La1 La 0.0000 0.0000 0.0000
Sc1 Sc 0.5000 0.5000 0.2730
Br1 Br 0.0000 0.0000 0.5000
# * uncorrected energy: -5.41 eV per atom
# * ΔE_f (raw): -1.22 eV per formula unit
# * energy relative to the lowest polymorph listed for this composition: 0.109 eV per atom
# * calculated density: 5.12 Mg/m³

---

Record 13
# La2ScBr | Alexandria via LeMat-Bulk | PBEsol | relaxed
data_La2ScBr
_space_group_name_H-M_alt 'C 1 m 1'
_space_group_IT_number 8
_space_group_name_Hall 'C -2y'
_cell_length_a 11.9894
_cell_length_b 3.4450
_cell_length_c 5.5841
_cell_angle_alpha 90.00
_cell_angle_beta 108.88
_cell_angle_gamma 90.00
loop_
_atom_site_label
_atom_site_type_symbol
_atom_site_fract_x
_atom_site_fract_y
_atom_site_fract_z
La1 La 0.0000 0.0000 0.0000
La2 La 0.2127 0.0000 0.6425
Sc1 Sc 0.2648 0.5000 0.1854
Br1 Br 0.4509 0.0000 0.4880
# * uncorrected energy: -5.22 eV per atom
# * ΔE_f (raw): -1.72 eV per formula unit
# * calculated density: 6.13 Mg/m³

---

Record 14
# La2ScBr | Alexandria via LeMat-Bulk | PBEsol | relaxed
data_La2ScBr
_space_group_name_H-M_alt 'C m m m'
_space_group_IT_number 65
_space_group_name_Hall '-C 2 2'
_cell_length_a 6.9322
_cell_length_b 8.8929
_cell_length_c 3.4911
_cell_angle_alpha 90.00
_cell_angle_beta 90.00
_cell_angle_gamma 90.00
loop_
_atom_site_label
_atom_site_type_symbol
_atom_site_fract_x
_atom_site_fract_y
_atom_site_fract_z
La1 La 0.2500 0.2500 0.0000
Sc1 Sc 0.0000 0.0000 0.5000
Br1 Br 0.0000 0.5000 0.5000
# * uncorrected energy: -5.22 eV per atom
# * ΔE_f (raw): -1.72 eV per formula unit
# * calculated density: 6.21 Mg/m³

---

Record 15
# LaSc2Br | Alexandria via LeMat-Bulk | PBEsol | relaxed
data_LaSc2Br
_space_group_name_H-M_alt 'C m m 2'
_space_group_IT_number 35
_space_group_name_Hall 'C 2 -2'
_cell_length_a 3.7769
_cell_length_b 5.5892
_cell_length_c 9.7844
_cell_angle_alpha 90.00
_cell_angle_beta 90.00
_cell_angle_gamma 90.00
loop_
_atom_site_label
_atom_site_type_symbol
_atom_site_fract_x
_atom_site_fract_y
_atom_site_fract_z
La1 La 0.0000 0.0000 0.0000
Sc1 Sc 0.0000 0.0000 0.4737
Sc2 Sc 0.0000 0.5000 0.7154
Br1 Br 0.0000 0.5000 0.2643
# * uncorrected energy: -5.52 eV per atom
# * ΔE_f (raw): -1.66 eV per formula unit
# * energy relative to the lowest polymorph listed for this composition: 0.000 eV per atom
# * calculated density: 4.96 Mg/m³

---

Record 16
# LaSc2Br | Alexandria via LeMat-Bulk | PBEsol | relaxed
data_LaSc2Br
_space_group_name_H-M_alt 'I 4/m m m'
_space_group_IT_number 139
_space_group_name_Hall '-I 4 2'
_cell_length_a 4.3390
_cell_length_b 4.3390
_cell_length_c 10.7488
_cell_angle_alpha 90.00
_cell_angle_beta 90.00
_cell_angle_gamma 90.00
loop_
_atom_site_label
_atom_site_type_symbol
_atom_site_fract_x
_atom_site_fract_y
_atom_site_fract_z
La1 La 0.0000 0.0000 0.0000
Sc1 Sc 0.0000 0.5000 0.2500
Br1 Br 0.0000 0.0000 0.5000
# * uncorrected energy: -5.23 eV per atom
# * ΔE_f (raw): -0.51 eV per formula unit
# * energy relative to the lowest polymorph listed for this composition: 0.286 eV per atom
# * calculated density: 5.07 Mg/m³

---

Record 17
# La3SeBr | Alexandria via LeMat-Bulk | PBEsol | relaxed
data_La3SeBr
_space_group_name_H-M_alt 'P m -3 m'
_space_group_IT_number 221
_space_group_name_Hall '-P 4 2 3'
_cell_length_a 5.6362
_cell_length_b 5.6362
_cell_length_c 5.6362
_cell_angle_alpha 90.00
_cell_angle_beta 90.00
_cell_angle_gamma 90.00
loop_
_atom_site_label
_atom_site_type_symbol
_atom_site_fract_x
_atom_site_fract_y
_atom_site_fract_z
La1 La 0.0000 0.0000 0.5000
Se1 Se 0.0000 0.0000 0.0000
Br1 Br 0.5000 0.5000 0.5000
# * uncorrected energy: -4.97 eV per atom
# * ΔE_f (raw): -3.11 eV per formula unit
# * calculated density: 5.34 Mg/m³

---

Record 18
# LaZnSe2Br | Alexandria via LeMat-Bulk | PBEsol | relaxed
data_LaZnSe2Br
_space_group_name_H-M_alt 'P 4/m m m'
_space_group_IT_number 123
_space_group_name_Hall '-P 4 2'
_cell_length_a 4.9772
_cell_length_b 4.9772
_cell_length_c 4.8514
_cell_angle_alpha 90.00
_cell_angle_beta 90.00
_cell_angle_gamma 90.00
loop_
_atom_site_label
_atom_site_type_symbol
_atom_site_fract_x
_atom_site_fract_y
_atom_site_fract_z
La1 La 0.0000 0.0000 0.0000
Zn1 Zn 0.5000 0.5000 0.5000
Se1 Se 0.0000 0.5000 0.5000
Br1 Br 0.5000 0.5000 0.0000
# * uncorrected energy: -4.27 eV per atom
# * ΔE_f (raw): -4.86 eV per formula unit
# * calculated density: 6.11 Mg/m³

---

Record 19
# La2SiBr | Alexandria via LeMat-Bulk | PBEsol | relaxed
data_La2SiBr
_space_group_name_H-M_alt 'P 4/m m m'
_space_group_IT_number 123
_space_group_name_Hall '-P 4 2'
_cell_length_a 3.5638
_cell_length_b 3.5638
_cell_length_c 7.9206
_cell_angle_alpha 90.00
_cell_angle_beta 90.00
_cell_angle_gamma 90.00
loop_
_atom_site_label
_atom_site_type_symbol
_atom_site_fract_x
_atom_site_fract_y
_atom_site_fract_z
La1 La 0.0000 0.0000 0.2282
Si1 Si 0.5000 0.5000 0.0000
Br1 Br 0.5000 0.5000 0.5000
# * uncorrected energy: -5.56 eV per atom
# * ΔE_f (raw): -3.94 eV per formula unit
# * energy relative to the lowest polymorph listed for this composition: 0.164 eV per atom
# * calculated density: 6.37 Mg/m³

---

Record 20
# La3SiBr3 | Alexandria via LeMat-Bulk | PBEsol | relaxed
data_La3SiBr3
_space_group_name_H-M_alt 'I 41 3 2'
_space_group_IT_number 214
_space_group_name_Hall 'I 4bd 2c 3'
_cell_length_a 12.0672
_cell_length_b 12.0672
_cell_length_c 12.0672
_cell_angle_alpha 90.00
_cell_angle_beta 90.00
_cell_angle_gamma 90.00
loop_
_atom_site_label
_atom_site_type_symbol
_atom_site_fract_x
_atom_site_fract_y
_atom_site_fract_z
La1 La 0.1167 0.3667 0.1250
Si1 Si 0.1250 0.1250 0.1250
Br1 Br 0.1198 0.1302 0.6250
# * uncorrected energy: -5.42 eV per atom
# * ΔE_f (raw): -10.52 eV per formula unit
# * calculated density: 5.17 Mg/m³